The following is a GGA-PBE calculation of a geometry-optimized SrBi3Pd structure, from Alexandria via LeMat-Bulk.

Calculated values
The energy comes out at -13.3 eV for the cell shown. As for the crystal system: cubic. The energy above the most stable polymorph in this dataset comes out at 1486 meV/atom. The formation enthalpy at 0 K comes out at 1.04 eV/atom. As for the space-group type: Pm-3m.

extended XYZ file:
```
5
Lattice="6.048 0.000 0.000 0.000 6.048 0.000 0.000 0.000 6.048" Properties=species:S:1:pos:R:3 pbc="T T T"
Sr 0.000 0.000 0.000
Bi 0.000 0.000 3.024
Bi 0.000 3.024 0.000
Bi 3.024 0.000 0.000
Pd 3.024 3.024 3.024
```

The following is a GGA-PBE calculation of a geometry-optimized Sr2Bi3Pd2 structure, from Alexandria via LeMat-Bulk.

Calculated values
The energy comes out at -29.5 eV for the cell shown. As for the crystal system: monoclinic. The energy above the most stable polymorph in this dataset comes out at 35 meV/atom. The formation enthalpy at 0 K comes out at -0.59 eV/atom. As for the space-group type: C2/m.

extended XYZ file:
```
7
Lattice="5.755 -2.277 0.000 5.755 2.277 0.000 -2.906 0.000 7.577" Properties=species:S:1:pos:R:3 pbc="T T T"
Sr 0.855 0.000 2.234
Sr 7.749 0.000 5.343
Bi 4.161 0.000 0.383
Bi 4.302 0.000 3.789
Bi 4.442 0.000 7.194
Pd -0.486 0.000 5.631
Pd 9.089 0.000 1.946
```

The following is a GGA-PBE calculation of a geometry-optimized Sr3BiPd structure, from Alexandria via LeMat-Bulk.

Calculated values
The energy comes out at -69.0 eV for the cell shown. As for the crystal system: orthorhombic. The energy above the most stable polymorph in this dataset comes out at 0 meV/atom. The formation enthalpy at 0 K comes out at -0.62 eV/atom. As for the space-group type: Cmce.

extended XYZ file:
```
20
Lattice="7.128 -5.878 0.000 7.128 5.878 0.000 0.000 0.000 8.741" Properties=species:S:1:pos:R:3 pbc="T T T"
Sr 5.048 3.982 3.570
Sr 7.128 5.010 7.061
Sr 5.048 1.896 7.940
Sr 9.208 3.982 3.570
Sr 7.128 0.868 2.690
Sr 9.208 1.896 7.940
Sr 5.048 -1.896 0.801
Sr 7.128 -0.868 6.050
Sr 5.048 -3.982 5.171
Sr 9.208 -1.896 0.801
Sr 7.128 -5.010 1.680
Sr 9.208 -3.982 5.171
Bi 3.564 1.084 2.185
Bi 3.564 -1.084 6.556
Bi 10.692 1.084 2.185
Bi 10.692 -1.084 6.556
Pd 7.128 3.565 1.121
Pd 7.128 2.313 5.491
Pd 7.128 -2.313 3.250
Pd 7.128 -3.565 7.620
```

The lowest energy belongs to which entry? Sr3BiPd

Among the records above, which one has the highest energy? SrBi3Pd